# Na10B13C7, relaxed, DFT GGA-PBE
# - N(E_F): 0.15 states/eV per atom
# - Formation energy: 0.114 eV per atom
# - Polymorph energy (0 for the lowest one): 28 meV per atom
# - Space group: C2, No. 5
data_Na10B13C7
_chemical_formula_sum 'Na10 B13 C7'
_symmetry_space_group_name_H-M 'P 1'
_symmetry_Int_Tables_number 1
_cell_length_a 7.665
_cell_length_b 7.665
_cell_length_c 9.017
_cell_angle_alpha 107.77
_cell_angle_beta 107.77
_cell_angle_gamma 37.71
loop_
_symmetry_equiv_pos_as_xyz
'x,y,z'
loop_
_atom_site_label
_atom_site_type_symbol
_atom_site_fract_x
_atom_site_fract_y
_atom_site_fract_z
Na1 Na 0.199 0.201 0.003
C1 C 0.982 0.316 0.252
C2 C 0.376 0.719 0.251
B1 B 0.632 0.271 0.750
Na2 Na 0.299 0.301 0.497
B2 B 0.519 0.192 0.249
Na3 Na 0.601 0.600 0.004
C3 C 0.781 0.124 0.249
B3 B 0.492 0.819 0.750
C4 C 0.184 0.518 0.248
C5 C 0.827 0.482 0.749
B4 B 0.308 0.981 0.251
C6 C 0.018 0.673 0.751
Na4 Na 0.500 0.498 0.498
C7 C 0.422 0.078 0.750
B5 B 0.582 0.918 0.250
B6 B 0.088 0.412 0.750
B7 B 0.681 0.008 0.750
Na5 Na 0.002 0.000 0.002
B8 B 0.865 0.250 0.750
B9 B 0.933 0.567 0.250
B10 B 0.229 0.868 0.750
B11 B 0.115 0.784 0.249
Na6 Na 0.699 0.699 0.496
B12 B 0.250 0.635 0.750
B13 B 0.716 0.385 0.251
Na7 Na 0.900 0.899 0.496
Na8 Na 0.801 0.801 0.004
Na9 Na 0.100 0.100 0.500
Na10 Na 0.400 0.400 0.000



# Cs2AcSnS4, relaxed, DFT GGA-PBE
# - N(E_F): 0.62 states/eV per atom
# - Formation energy (no corrections): -1.141 eV per atom
# - Space group: I-4, No. 82
data_Cs2AcSnS4
_chemical_formula_sum 'Cs2 Ac1 Sn1 S4'
_symmetry_space_group_name_H-M 'P 1'
_symmetry_Int_Tables_number 1
_cell_length_a 7.608
_cell_length_b 7.608
_cell_length_c 7.608
_cell_angle_alpha 94.98
_cell_angle_beta 117.17
_cell_angle_gamma 117.17
loop_
_symmetry_equiv_pos_as_xyz
'x,y,z'
loop_
_atom_site_label
_atom_site_type_symbol
_atom_site_fract_x
_atom_site_fract_y
_atom_site_fract_z
S1 S 0.404 0.851 0.786
S2 S 0.935 0.553 0.149
S3 S 0.596 0.382 0.447
S4 S 0.065 0.214 0.618
Ac1 Ac 0.500 0.250 0.750
Sn1 Sn 0.000 0.500 0.500
Cs1 Cs 0.000 0.000 0.000
Cs2 Cs 0.500 0.750 0.250



Ordered VASP energy results: -161.2; -35.5; unit eV/cell.